## Si2Sb (SCAN)

Data for a crystal of Si2Sb relaxed with PBEsol.

a = 12.7358 Å, b = 3.6278 Å, c = 6.1787 Å
α = 90.00°, β = 118.89°, γ = 90.00°
Positions (direct):
Si (0.0262, 0.0000, 0.3403)
Si (0.1688, 0.5000, 0.3983)
Si (0.3312, 0.0000, 0.6017)
Si (0.4738, 0.5000, 0.6597)
Si (0.5262, 0.5000, 0.3403)
Si (0.6688, 0.0000, 0.3983)
Si (0.8312, 0.5000, 0.6017)
Si (0.9738, 0.0000, 0.6597)
Sb (0.1447, 0.5000, 0.9516)
Sb (0.3553, 0.0000, 0.0484)
Sb (0.6447, 0.0000, 0.9516)
Sb (0.8553, 0.5000, 0.0484)

Computed properties:
**Symmetry**: No. 12
**Calculated total energy**: -18.757 eV per atom
**Calculated volume**: 249.9 Å³/cell